No. 1
# CaGeI2O PBE-GGA relaxed
data_CaGeI2O
_symmetry_space_group_name_H-M 'P 1'
_symmetry_Int_Tables_number 1
_symmetry_space_group_name_Hall 'P 1'
_cell_length_a 6.0929
_cell_length_b 6.0929
_cell_length_c 4.1250
_cell_angle_alpha 90.00
_cell_angle_beta 90.00
_cell_angle_gamma 90.00
loop_
_atom_site_label
_atom_site_fract_x
_atom_site_fract_y
_atom_site_fract_z
I1 0.0000 0.5000 0.0000
I2 0.5000 0.0000 0.0000
Ge1 0.5000 0.5000 0.5000
Ca1 0.0000 0.0000 0.0000
O1 0.0000 0.0000 0.5000
# Raw formation energy in meV/atom: -512
# Excess energy over the best structure of this formula in the dataset in meV/atom: 256
# ρ in g cm⁻³: 4.15
# Volume in Å³ per cell: 153.1



No. 2
# CaGePI2 PBE-GGA relaxed
data_CaGePI2
_symmetry_space_group_name_H-M 'P 1'
_symmetry_Int_Tables_number 1
_symmetry_space_group_name_Hall 'P 1'
_cell_length_a 5.9756
_cell_length_b 6.0852
_cell_length_c 5.9756
_cell_angle_alpha 90.00
_cell_angle_beta 90.00
_cell_angle_gamma 90.00
loop_
_atom_site_label
_atom_site_fract_x
_atom_site_fract_y
_atom_site_fract_z
I1 0.0000 0.0000 0.5000
I2 0.5000 0.0000 0.0000
P1 0.5000 0.5000 0.5000
Ge1 0.0000 0.5000 0.0000
Ca1 0.0000 0.0000 0.0000
# Raw formation energy in meV/atom: 454
# ρ in g cm⁻³: 3.04
# Volume in Å³ per cell: 217.3



No. 3
# Rb2CaGeI6 PBE-GGA relaxed
data_Rb2CaGeI6
_symmetry_space_group_name_H-M 'P 1'
_symmetry_Int_Tables_number 1
_symmetry_space_group_name_Hall 'P 1'
_cell_length_a 8.6411
_cell_length_b 8.6112
_cell_length_c 12.2024
_cell_angle_alpha 90.00
_cell_angle_beta 90.00
_cell_angle_gamma 90.00
loop_
_atom_site_label
_atom_site_fract_x
_atom_site_fract_y
_atom_site_fract_z
Rb1 0.5000 0.7582 0.2367
Rb2 0.0000 0.2418 0.7367
Rb3 0.5000 0.7582 0.7633
Rb4 0.0000 0.2418 0.2633
Ca1 0.5000 0.2499 0.5000
Ca2 0.0000 0.7501 0.0000
Ge1 0.0000 0.7484 0.5000
Ge2 0.5000 0.2516 0.0000
I1 0.5000 0.2461 0.2457
I2 0.5000 0.2461 0.7543
I3 0.0000 0.7539 0.2543
I4 0.0000 0.7539 0.7457
I5 0.2455 0.9954 0.5000
I6 0.7545 0.9954 0.5000
I7 0.2432 0.5013 0.5000
I8 0.7568 0.5013 0.5000
I9 0.7432 0.4987 0.0000
I10 0.2568 0.4987 0.0000
I11 0.2545 0.0046 0.0000
I12 0.7455 0.0046 0.0000
# Raw formation energy in meV/atom: -1130
# ρ in g cm⁻³: 3.82
# Volume in Å³ per cell: 908.0



No. 4
# Rb2CaGeI6 PBE-GGA relaxed
data_Rb2CaGeI6
_symmetry_space_group_name_H-M 'P 1'
_symmetry_Int_Tables_number 1
_symmetry_space_group_name_Hall 'P 1'
_cell_length_a 8.6233
_cell_length_b 8.6233
_cell_length_c 8.6236
_cell_angle_alpha 60.00
_cell_angle_beta 60.00
_cell_angle_gamma 90.00
loop_
_atom_site_label
_atom_site_fract_x
_atom_site_fract_y
_atom_site_fract_z
I1 0.2457 0.2457 0.5085
I2 0.7543 0.7543 0.4915
I3 0.2457 0.2457 0.0000
I4 0.7543 0.7543 0.0000
I5 0.7543 0.2457 0.0000
I6 0.2457 0.7543 0.0000
Ge1 0.0000 0.0000 0.0000
Ca1 0.5000 0.5000 0.0000
Rb1 0.7500 0.2500 0.5000
Rb2 0.2500 0.7500 0.5000
# Raw formation energy in meV/atom: -1130
# ρ in g cm⁻³: 3.83
# Volume in Å³ per cell: 453.5



No. 5
# CaGeRhI2 PBE-GGA relaxed
data_CaGeRhI2
_symmetry_space_group_name_H-M 'P 1'
_symmetry_Int_Tables_number 1
_symmetry_space_group_name_Hall 'P 1'
_cell_length_a 5.8326
_cell_length_b 4.6499
_cell_length_c 5.8326
_cell_angle_alpha 90.00
_cell_angle_beta 90.00
_cell_angle_gamma 90.00
loop_
_atom_site_label
_atom_site_fract_x
_atom_site_fract_y
_atom_site_fract_z
I1 0.0000 0.0000 0.5000
I2 0.5000 0.0000 0.0000
Ge1 0.0000 0.0000 0.0000
Rh1 0.0000 0.5000 0.0000
Ca1 0.5000 0.5000 0.5000
# Raw formation energy in meV/atom: -24
# ρ in g cm⁻³: 4.93
# Volume in Å³ per cell: 158.2



No. 6
# CaGeRh2I PBE-GGA relaxed
data_CaGeRh2I
_symmetry_space_group_name_H-M 'P 1'
_symmetry_Int_Tables_number 1
_symmetry_space_group_name_Hall 'P 1'
_cell_length_a 4.8934
_cell_length_b 5.4312
_cell_length_c 4.8934
_cell_angle_alpha 90.00
_cell_angle_beta 90.00
_cell_angle_gamma 90.00
loop_
_atom_site_label
_atom_site_fract_x
_atom_site_fract_y
_atom_site_fract_z
I1 0.0000 0.0000 0.0000
Ge1 0.0000 0.5000 0.0000
Rh1 0.0000 0.0000 0.5000
Rh2 0.5000 0.0000 0.0000
Ca1 0.5000 0.5000 0.5000
# Raw formation energy in meV/atom: 575
# ρ in g cm⁻³: 5.69
# Volume in Å³ per cell: 130.1



No. 7
# CaGeSb2I PBE-GGA relaxed
data_CaGeSb2I
_symmetry_space_group_name_H-M 'P 1'
_symmetry_Int_Tables_number 1
_symmetry_space_group_name_Hall 'P 1'
_cell_length_a 5.3913
_cell_length_b 5.3913
_cell_length_c 5.8390
_cell_angle_alpha 90.00
_cell_angle_beta 90.00
_cell_angle_gamma 90.00
loop_
_atom_site_label
_atom_site_fract_x
_atom_site_fract_y
_atom_site_fract_z
I1 0.0000 0.0000 0.5000
Sb1 0.0000 0.5000 0.0000
Sb2 0.5000 0.0000 0.0000
Ge1 0.0000 0.0000 0.0000
Ca1 0.5000 0.5000 0.5000
# Raw formation energy in meV/atom: 21
# Excess energy over the best structure of this formula in the dataset in meV/atom: 0
# ρ in g cm⁻³: 4.73
# Volume in Å³ per cell: 169.7



No. 8
# CaGeSbI2 PBE-GGA relaxed
data_CaGeSbI2
_symmetry_space_group_name_H-M 'P 1'
_symmetry_Int_Tables_number 1
_symmetry_space_group_name_Hall 'P 1'
_cell_length_a 5.7866
_cell_length_b 5.7866
_cell_length_c 6.3317
_cell_angle_alpha 90.00
_cell_angle_beta 90.00
_cell_angle_gamma 90.00
loop_
_atom_site_label
_atom_site_fract_x
_atom_site_fract_y
_atom_site_fract_z
I1 0.0000 0.5000 0.0000
I2 0.5000 0.0000 0.0000
Sb1 0.0000 0.0000 0.5000
Ge1 0.5000 0.5000 0.5000
Ca1 0.0000 0.0000 0.0000
# Raw formation energy in meV/atom: 118
# Excess energy over the best structure of this formula in the dataset in meV/atom: 288
# ρ in g cm⁻³: 3.82
# Volume in Å³ per cell: 212.0



No. 9
# CaGeSbI2 PBE-GGA relaxed
data_CaGeSbI2
_symmetry_space_group_name_H-M 'P 1'
_symmetry_Int_Tables_number 1
_symmetry_space_group_name_Hall 'P 1'
_cell_length_a 5.6639
_cell_length_b 5.6639
_cell_length_c 5.6241
_cell_angle_alpha 90.00
_cell_angle_beta 90.00
_cell_angle_gamma 90.00
loop_
_atom_site_label
_atom_site_fract_x
_atom_site_fract_y
_atom_site_fract_z
I1 0.0000 0.5000 0.0000
I2 0.5000 0.0000 0.0000
Sb1 0.0000 0.0000 0.5000
Ge1 0.0000 0.0000 0.0000
Ca1 0.5000 0.5000 0.5000
# Raw formation energy in meV/atom: -170
# Excess energy over the best structure of this formula in the dataset in meV/atom: 0
# ρ in g cm⁻³: 4.49
# Volume in Å³ per cell: 180.4



No. 10
# CaGeSb2I PBE-GGA relaxed
data_CaGeSb2I
_symmetry_space_group_name_H-M 'P 1'
_symmetry_Int_Tables_number 1
_symmetry_space_group_name_Hall 'P 1'
_cell_length_a 5.8668
_cell_length_b 5.8668
_cell_length_c 5.7373
_cell_angle_alpha 90.00
_cell_angle_beta 90.00
_cell_angle_gamma 90.00
loop_
_atom_site_label
_atom_site_fract_x
_atom_site_fract_y
_atom_site_fract_z
I1 0.0000 0.0000 0.5000
Sb1 0.0000 0.5000 0.0000
Sb2 0.5000 0.0000 0.0000
Ge1 0.5000 0.5000 0.5000
Ca1 0.0000 0.0000 0.0000
# Raw formation energy in meV/atom: 554
# Excess energy over the best structure of this formula in the dataset in meV/atom: 533
# ρ in g cm⁻³: 4.06
# Volume in Å³ per cell: 197.5



No. 11
# CaSiGeI2 PBE-GGA relaxed
data_CaSiGeI2
_symmetry_space_group_name_H-M 'P 1'
_symmetry_Int_Tables_number 1
_symmetry_space_group_name_Hall 'P 1'
_cell_length_a 5.7577
_cell_length_b 5.8376
_cell_length_c 5.7577
_cell_angle_alpha 90.00
_cell_angle_beta 90.00
_cell_angle_gamma 90.00
loop_
_atom_site_label
_atom_site_fract_x
_atom_site_fract_y
_atom_site_fract_z
I1 0.0000 0.0000 0.5000
I2 0.5000 0.0000 0.0000
Ge1 0.0000 0.0000 0.0000
Si1 0.5000 0.5000 0.5000
Ca1 0.0000 0.5000 0.0000
# Raw formation energy in meV/atom: 414
# ρ in g cm⁻³: 3.39
# Volume in Å³ per cell: 193.5



No. 12
# CaGeTeI2 PBE-GGA relaxed
data_CaGeTeI2
_symmetry_space_group_name_H-M 'P 1'
_symmetry_Int_Tables_number 1
_symmetry_space_group_name_Hall 'P 1'
_cell_length_a 5.8323
_cell_length_b 5.8323
_cell_length_c 6.2107
_cell_angle_alpha 90.00
_cell_angle_beta 90.00
_cell_angle_gamma 90.00
loop_
_atom_site_label
_atom_site_fract_x
_atom_site_fract_y
_atom_site_fract_z
I1 0.0000 0.5000 0.0000
I2 0.5000 0.0000 0.0000
Ge1 0.5000 0.5000 0.5000
Te1 0.0000 0.0000 0.5000
Ca1 0.0000 0.0000 0.0000
# Raw formation energy in meV/atom: -152
# Excess energy over the best structure of this formula in the dataset in meV/atom: 275
# ρ in g cm⁻³: 3.88
# Volume in Å³ per cell: 211.3